{"formula": "NaFeN2", "functional": "PBE", "state": "optimized geometry", "lattice_angstrom": [[0.0000, 2.6229, 2.6229], [2.6229, 0.0000, 2.6229], [2.6229, 2.6229, 0.0000]], "species": ["Na", "Fe", "N", "N"], "fractional_positions": [[0.0000, 0.0000, 0.0000], [0.5000, 0.5000, 0.5000], [0.2500, 0.2500, 0.2500], [0.7500, 0.7500, 0.7500]], "polymorph_energy_ev_per_atom": 1.104, "e_form_raw_ev_per_atom": 1.08, "energy_ev_per_cell": -22.1}

{"formula": "K2MgIn3Pb4", "functional": "PBE", "state": "optimized geometry", "lattice_angstrom": [[5.1908, 0.0000, 0.0000], [0.0000, 5.1908, 0.0000], [0.0000, 0.0000, 12.6459]], "species": ["K", "K", "Mg", "In", "In", "In", "Pb", "Pb", "Pb", "Pb"], "fractional_positions": [[0.0000, 0.5000, 0.2478], [0.5000, 0.0000, 0.7522], [0.5000, 0.5000, 0.0000], [0.0000, 0.0000, 0.0000], [0.0000, 0.5000, 0.6364], [0.5000, 0.0000, 0.3636], [0.0000, 0.0000, 0.5000], [0.0000, 0.5000, 0.8707], [0.5000, 0.0000, 0.1293], [0.5000, 0.5000, 0.5000]], "energy_ev_per_cell": -27.9}

{"formula": "AcAlPd6Au", "functional": "PBE", "state": "optimized geometry", "lattice_angstrom": [[-2.8487, 4.7781, 6.6697], [2.8487, -4.7781, 6.6697], [2.8487, 4.7781, -6.6697]], "species": ["Ac", "Ac", "Al", "Al", "Pd", "Pd", "Pd", "Pd", "Pd", "Pd", "Pd", "Pd", "Pd", "Pd", "Pd", "Pd", "Au", "Au"], "fractional_positions": [[0.4064, 0.1564, 0.2500], [0.5936, 0.8436, 0.7500], [0.0000, 0.5000, 0.5000], [0.5000, 0.5000, 0.0000], [0.1344, 0.3933, 0.2397], [0.1344, 0.8947, 0.7411], [0.1820, 0.9320, 0.2500], [0.3279, 0.5779, 0.7500], [0.3464, 0.1053, 0.7397], [0.3464, 0.6067, 0.2411], [0.6536, 0.3933, 0.7589], [0.6536, 0.8947, 0.2603], [0.6721, 0.4221, 0.2500], [0.8180, 0.0680, 0.7500], [0.8656, 0.1053, 0.2589], [0.8656, 0.6067, 0.7603], [0.0000, 0.0000, 0.5000], [0.0000, 0.5000, 0.0000]], "energy_ev_per_cell": -89.2}

{"formula": "PmTh2Ga6", "functional": "PBE", "state": "optimized geometry", "lattice_angstrom": [[7.3960, 0.0000, 0.0000], [-3.6980, 6.4052, 0.0000], [0.0000, 0.0000, 4.2479]], "species": ["Pm", "Th", "Th", "Ga", "Ga", "Ga", "Ga", "Ga", "Ga"], "fractional_positions": [[0.0000, 0.0000, 0.0000], [0.3333, 0.6667, 0.0000], [0.6667, 0.3333, 0.0000], [0.0000, 0.3330, 0.5000], [0.0000, 0.6670, 0.5000], [0.3330, 0.0000, 0.5000], [0.3330, 0.3330, 0.5000], [0.6670, 0.0000, 0.5000], [0.6670, 0.6670, 0.5000]], "energy_ev_per_cell": -43.7}